Entry from Alexandria via LeMat-Bulk: a relaxed CaCrAs2 crystal (GGA-PBEsol).

Summary:
Space-group type   P4/mmm (123)
Calculated formation energy   -193 meV/atom

Unit cell a=4.500 b=4.500 c=3.779 alpha=90.00 beta=90.00 gamma=90.00
Positions (direct):
1 Ca 0.000 0.000 0.000
2 Cr 0.500 0.500 0.000
3 As 0.000 0.500 0.500
4 As 0.500 0.000 0.500



Entry from Alexandria via LeMat-Bulk: a relaxed CaCrAs2 crystal (GGA-PBEsol).

Summary:
Space-group type   R3m (160)
Calculated formation energy   329 meV/atom

Unit cell a=8.811 b=8.811 c=8.811 alpha=21.11 beta=21.11 gamma=21.11
Positions (direct):
1 Ca 0.000 0.000 0.000
2 Cr 0.762 0.762 0.762
3 As 0.241 0.241 0.241
4 As 0.484 0.484 0.484



| no. | electronic total energy (eV per cell) | excess energy over the best structure of this formula in the dataset (eV/atom) |
| --- | --- | --- |
| 1 | -23.36 | 0.027 |
| 2 | -21.27 | 0.548 |